A plane-wave DFT calculation with GGA+U was carried out for a relaxed NpTiNiO6 crystal.

The structure belongs to space group P-31c (No. 163); the cell edges are 5.3112, 5.3112 and 8.8502 Å and the angles 90.00°, 90.00° and 120.00°. The asymmetric unit holds Np at (0.3333, 0.6667, 0.2500), Ti at (0.3333, 0.6667, 0.7500), Ni at (0.0000, 0.0000, 0.0000) and O at (0.0126, 0.3521, 0.6324).

The value obtained for the total energy is -149.089 eV/cell.